i) Material: FeGeBi3
Method: DFT, PBE
State: optimized geometry

```
FeGeBi3
1.0
5.4893 0.0000 0.0000
0.0000 5.4893 0.0000
0.0000 0.0000 5.4893
Ge Bi Fe
1 3 1
direct
0.0000 0.0000 0.0000 Ge
0.0000 0.5000 0.0000 Bi
0.0000 0.0000 0.5000 Bi
0.5000 0.0000 0.0000 Bi
0.5000 0.5000 0.5000 Fe
```

Output
DOS at the Fermi energy	1.4081	states/eV per atom
magnetization	3.057	μB/f.u.

---

ii) Material: FeGeBi3
Method: DFT, PBE
State: optimized geometry

```
FeGeBi3
1.0
5.1268 0.0000 0.0000
0.0000 5.1268 0.0000
0.0000 0.0000 5.1268
Ge Bi Fe
1 3 1
direct
0.5000 0.5000 0.5000 Ge
0.0000 0.5000 0.0000 Bi
0.0000 0.0000 0.5000 Bi
0.5000 0.0000 0.0000 Bi
0.0000 0.0000 0.0000 Fe
```

Output
DOS at the Fermi energy	1.0175	states/eV per atom
magnetization	0.949	μB/f.u.

---

Preferred: ii); penalty for the next structure: 574 meV/atom.